DFT (PBEsol) results for a geometry-optimized Co2CuIr structure.

POSCAR file:
```
Co2CuIr
1.0
1.292 0.746 8.214
-1.292 0.746 8.214
0.000 -1.492 8.214
Co Cu Ir
2 1 1
Cartesian
0.000 0.000 0.000
0.000 0.000 6.327
0.000 0.000 12.514
0.000 0.000 18.531
```

Calculated values
crystal system = trigonal
space group = R3m (160)
final energy = -29.164 eV/f.u.
E_form = 0.1169 eV per atom

DFT (PBEsol) results for a geometry-optimized CoCuIr2 structure.

POSCAR file:
```
CoCuIr2
1.0
2.640 0.000 0.000
0.000 2.640 0.000
0.000 0.000 7.163
Co Cu Ir
1 1 2
Cartesian
0.000 0.000 0.000
0.000 0.000 3.582
1.320 1.320 1.711
1.320 1.320 5.453
```

Calculated values
crystal system = tetragonal
space group = P4/mmm (123)
final energy = -31.259 eV/f.u.
E_form = 0.1147 eV per atom

DFT (PBEsol) results for a geometry-optimized CoCu2Ir structure.

POSCAR file:
```
CoCu2Ir
1.0
1.312 -2.184 0.000
1.312 2.184 0.000
0.000 0.000 8.589
Co Cu Ir
1 2 1
Cartesian
0.000 0.000 0.000
1.312 0.000 2.053
1.312 0.000 6.536
0.000 0.000 4.294
```

Calculated values
crystal system = orthorhombic
space group = Cmmm (65)
final energy = -25.196 eV/f.u.
E_form = 0.2583 eV per atom

DFT (PBEsol) results for a geometry-optimized CoCuIr structure.

POSCAR file:
```
CoCuIr
1.0
4.058 0.000 0.000
-2.029 3.514 0.000
0.000 0.000 2.547
Co Cu Ir
1 1 1
Cartesian
0.000 0.000 0.000
2.029 1.171 0.067
0.000 2.343 1.303
```

Calculated values
crystal system = trigonal
space group = P3m1 (156)
final energy = -21.249 eV/f.u.
E_form = 0.2152 eV per atom

DFT (PBEsol) results for a geometry-optimized CoCuIr3 structure.

POSCAR file:
```
CoCuIr3
1.0
4.369 0.000 0.000
0.000 4.369 0.000
0.000 0.000 4.369
Co Cu Ir
1 1 3
Cartesian
0.000 0.000 0.000
2.185 2.185 2.185
0.000 0.000 2.185
0.000 2.185 0.000
2.185 0.000 0.000
```

Calculated values
crystal system = cubic
space group = Pm-3m (221)
final energy = -33.006 eV/f.u.
E_form = 1.7071 eV per atom

DFT (PBEsol) results for a geometry-optimized CoCu2Ir structure.

POSCAR file:
```
CoCu2Ir
1.0
3.556 0.000 0.000
0.000 3.556 0.000
0.000 0.000 3.783
Co Cu Ir
1 2 1
Cartesian
0.000 0.000 0.000
0.000 1.778 1.891
1.778 0.000 1.891
1.778 1.778 0.000
```

Calculated values
crystal system = tetragonal
space group = P4/mmm (123)
final energy = -25.471 eV/f.u.
E_form = 0.1895 eV per atom

DFT (PBEsol) results for a geometry-optimized CoCuIr2 structure.

POSCAR file:
```
CoCuIr2
1.0
1.325 0.765 8.358
-1.325 0.765 8.358
0.000 -1.531 8.358
Co Cu Ir
1 1 2
Cartesian
0.000 0.000 0.000
0.000 0.000 12.536
0.000 0.000 6.326
0.000 0.000 18.747
```

Calculated values
crystal system = trigonal
space group = R-3m (166)
final energy = -31.479 eV/f.u.
E_form = 0.0597 eV per atom

DFT (PBEsol) results for a geometry-optimized CoCu2Ir structure.

POSCAR file:
```
CoCu2Ir
1.0
1.301 0.751 8.236
-1.301 0.751 8.236
0.000 -1.502 8.236
Co Cu Ir
1 2 1
Cartesian
0.000 0.000 0.000
0.000 0.000 12.247
0.000 0.000 18.475
0.000 0.000 6.200
```

Calculated values
crystal system = trigonal
space group = R3m (160)
final energy = -25.838 eV/f.u.
E_form = 0.0977 eV per atom

DFT (PBEsol) results for a geometry-optimized CoCuIr2 structure.

POSCAR file:
```
CoCuIr2
1.0
4.252 -1.325 0.000
4.252 1.325 0.000
-0.833 0.000 4.511
Co Cu Ir
1 1 2
Cartesian
0.000 0.000 0.000
3.836 0.000 2.255
1.544 0.000 3.400
6.128 0.000 1.110
```

Calculated values
crystal system = monoclinic
space group = C2/m (12)
final energy = -31.291 eV/f.u.
E_form = 0.1067 eV per atom

DFT (PBEsol) results for a geometry-optimized K2CoCu structure.

POSCAR file:
```
K2CoCu
1.0
2.755 0.000 0.000
0.000 4.081 0.000
0.000 0.000 8.846
K Co Cu
2 1 1
Cartesian
0.000 0.000 2.207
0.000 0.000 6.639
1.378 2.041 0.000
1.378 2.041 4.423
```

Calculated values
crystal system = orthorhombic
space group = Pmmm (47)
final energy = -10.041 eV/f.u.
E_form = 1.0742 eV per atom

DFT (PBEsol) results for a geometry-optimized K4CoCu structure.

POSCAR file:
```
K4CoCu
1.0
0.000 4.904 4.904
4.904 0.000 4.904
4.904 4.904 0.000
K Co Cu
4 1 1
Cartesian
1.229 1.229 1.229
3.675 3.675 1.229
3.675 1.229 3.675
1.229 3.675 3.675
7.356 7.356 7.356
4.904 4.904 4.904
```

Calculated values
crystal system = cubic
space group = F-43m (216)
final energy = -9.562 eV/f.u.
E_form = 1.1738 eV per atom

DFT (PBEsol) results for a geometry-optimized KCoCu2 structure.

POSCAR file:
```
KCoCu2
1.0
2.561 0.000 0.000
0.000 4.058 0.000
-0.206 0.000 6.795
K Co Cu
1 1 2
Cartesian
0.000 0.000 0.000
2.361 2.029 2.529
1.092 0.000 3.074
1.071 2.029 4.544
```

Calculated values
crystal system = monoclinic
space group = Pm (6)
final energy = -14.998 eV/f.u.
E_form = 0.6352 eV per atom

DFT (PBEsol) results for a geometry-optimized KCoCu2 structure.

POSCAR file:
```
KCoCu2
1.0
0.000 3.192 3.192
3.192 0.000 3.192
3.192 3.192 0.000
K Co Cu
1 1 2
Cartesian
0.000 0.000 0.000
3.192 3.192 3.192
1.596 1.596 1.596
4.789 4.789 4.789
```

Calculated values
crystal system = cubic
space group = Fm-3m (225)
final energy = -12.926 eV/f.u.
E_form = 1.1532 eV per atom

DFT (PBEsol) results for a geometry-optimized K2CoCu structure.

POSCAR file:
```
K2CoCu
1.0
3.482 -2.019 0.000
3.482 2.019 0.000
-2.995 0.000 9.058
K Co Cu
2 1 1
Cartesian
0.000 0.000 0.000
-0.007 0.000 4.697
2.315 0.000 2.348
4.641 0.000 2.349
```

Calculated values
crystal system = monoclinic
space group = Cm (8)
final energy = -11.651 eV/f.u.
E_form = 0.6717 eV per atom

DFT (PBEsol) results for a geometry-optimized LaCoCu12 structure.

POSCAR file:
```
LaCoCu12
1.0
0.000 5.675 5.675
5.675 0.000 5.675
5.675 5.675 0.000
La Co Cu
2 2 24
Cartesian
2.838 2.838 2.838
8.513 8.513 8.513
0.000 0.000 0.000
5.675 5.675 5.675
5.675 4.349 2.032
9.318 5.675 4.349
7.002 2.032 5.675
7.002 5.675 3.643
5.675 3.643 4.349
7.708 4.349 5.675
5.675 7.002 2.032
4.349 2.032 5.675
9.318 5.675 7.002
4.349 5.675 3.643
7.708 7.002 5.675
5.675 3.643 7.002
5.675 7.708 4.349
3.643 4.349 5.675
7.002 5.675 7.708
2.032 5.675 4.349
7.002 9.318 5.675
5.675 4.349 9.318
3.643 7.002 5.675
5.675 7.708 7.002
4.349 5.675 7.708
4.349 9.318 5.675
2.032 5.675 7.002
5.675 7.002 9.318
```

Calculated values
crystal system = cubic
space group = Fm-3c (226)
final energy = -65.916 eV/f.u.
E_form = -0.0588 eV per atom

DFT (PBEsol) results for a geometry-optimized Li4CoCu structure.

POSCAR file:
```
Li4CoCu
1.0
0.000 3.311 3.311
3.311 0.000 3.311
3.311 3.311 0.000
Li Co Cu
4 1 1
Cartesian
0.831 0.831 0.831
2.480 2.480 0.831
2.480 0.831 2.480
0.831 2.480 2.480
3.311 3.311 3.311
4.967 4.967 4.967
```

Calculated values
crystal system = cubic
space group = F-43m (216)
final energy = -17.384 eV/f.u.
E_form = 0.4257 eV per atom

DFT (PBEsol) results for a geometry-optimized LiCoCu2 structure.

POSCAR file:
```
LiCoCu2
1.0
0.000 2.806 2.806
2.806 0.000 2.806
2.806 2.806 0.000
Li Co Cu
1 1 2
Cartesian
0.000 0.000 0.000
2.806 2.806 2.806
1.403 1.403 1.403
4.209 4.209 4.209
```

Calculated values
crystal system = cubic
space group = Fm-3m (225)
final energy = -17.556 eV/f.u.
E_form = 0.2041 eV per atom

DFT (PBEsol) results for a geometry-optimized LiCoCu structure.

POSCAR file:
```
LiCoCu
1.0
2.465 0.000 0.000
-1.233 2.135 0.000
0.000 0.000 6.397
Li Co Cu
1 1 1
Cartesian
0.000 0.000 0.000
1.233 0.712 4.262
0.000 1.423 2.183
```

Calculated values
crystal system = trigonal
space group = P3m1 (156)
final energy = -13.646 eV/f.u.
E_form = 0.1308 eV per atom

DFT (PBEsol) results for a geometry-optimized Li3CoCu structure.

POSCAR file:
```
Li3CoCu
1.0
4.405 0.000 0.000
0.000 4.405 0.000
0.000 0.000 4.405
Li Co Cu
3 1 1
Cartesian
0.000 0.000 2.203
0.000 2.203 0.000
2.203 0.000 0.000
0.000 0.000 0.000
2.203 2.203 2.203
```

Calculated values
crystal system = cubic
space group = Pm-3m (221)
final energy = -13.482 eV/f.u.
E_form = 0.8979 eV per atom

DFT (PBEsol) results for a geometry-optimized Li2CoCuO4 structure.

POSCAR file:
```
Li2CoCuO4
1.0
2.785 -4.191 0.000
2.785 4.191 0.000
0.000 0.000 5.572
Li Co Cu O
4 2 2 8
Cartesian
2.785 2.146 4.179
1.393 0.000 2.786
4.178 0.000 0.000
2.785 -2.146 1.393
1.416 0.000 0.000
4.155 0.000 2.786
2.785 2.144 1.393
2.785 -2.144 4.179
2.785 4.077 1.393
1.366 1.877 5.523
1.366 -1.877 0.049
2.785 0.197 1.393
2.785 -0.197 4.179
4.204 1.877 2.835
4.204 -1.877 2.737
2.785 -4.077 4.179
```

Calculated values
crystal system = orthorhombic
space group = C222_1 (20)
final energy = -46.951 eV/f.u.
raw formation energy = -960 kJ/mol of formula units

DFT (PBEsol) results for a geometry-optimized Li2CoCuO4 structure.

POSCAR file:
```
Li2CoCuO4
1.0
-1.971 1.971 4.184
1.971 -1.971 4.184
1.971 1.971 -4.184
Li Co Cu O
2 1 1 4
Cartesian
0.000 0.000 0.000
0.000 1.971 2.092
0.000 0.000 4.184
1.971 0.000 2.092
1.971 0.000 0.147
0.000 0.000 2.306
1.971 0.000 4.037
0.000 0.000 6.063
```

Calculated values
crystal system = tetragonal
space group = I-4m2 (119)
final energy = -46.949 eV/f.u.
raw formation energy = -960 kJ/mol of formula units

DFT (PBEsol) results for a geometry-optimized Li5Co2Cu3O10 structure.

POSCAR file:
```
Li5Co2Cu3O10
1.0
4.924 0.000 0.000
-1.171 4.988 0.000
-1.652 -2.452 6.826
Li Co Cu O
5 2 3 10
Cartesian
0.000 0.000 0.000
-0.938 -0.668 4.868
0.592 2.717 0.667
1.509 -0.180 6.159
3.039 3.205 1.958
-0.333 2.110 5.513
2.434 0.427 1.313
-0.148 0.959 2.715
1.636 -1.226 3.413
2.249 1.577 4.111
-1.840 1.048 5.720
-1.127 2.734 3.896
-0.156 4.291 1.739
0.044 -1.500 6.526
0.517 0.739 4.532
1.584 1.798 2.294
2.058 4.036 0.301
2.257 -1.754 5.088
3.228 -0.197 2.930
3.941 1.488 1.106
```

Calculated values
crystal system = triclinic
space group = P-1 (2)
final energy = -116.044 eV/f.u.
raw formation energy = -2435 kJ/mol of formula units

DFT (PBEsol) results for a geometry-optimized Li4Co5CuO12 structure.

POSCAR file:
```
Li4Co5CuO12
1.0
2.426 -4.195 0.000
2.426 4.195 0.000
-1.591 0.000 9.582
Li Co Cu O
4 5 1 12
Cartesian
0.825 2.799 7.127
2.435 2.799 2.455
0.825 -2.799 7.127
2.435 -2.799 2.455
-0.796 0.000 4.791
2.426 2.797 0.000
1.630 1.378 4.791
1.630 -1.378 4.791
2.426 -2.797 0.000
2.426 0.000 0.000
0.000 1.422 5.751
-0.890 0.000 8.559
1.563 1.491 1.023
0.791 0.000 3.806
0.000 -1.422 5.751
1.697 1.491 8.559
1.563 -1.491 1.023
3.260 1.422 3.831
2.469 0.000 5.777
1.697 -1.491 8.559
4.150 0.000 1.023
3.260 -1.422 3.831
```

Calculated values
crystal system = monoclinic
space group = C2/m (12)
final energy = -142.389 eV/f.u.
raw formation energy = -2751 kJ/mol of formula units

DFT (PBEsol) results for a geometry-optimized Li2CoCuO4 structure.

POSCAR file:
```
Li2CoCuO4
1.0
-2.750 2.791 4.398
2.750 -2.791 4.398
2.750 2.791 -4.398
Li Co Cu O
4 2 2 8
Cartesian
0.000 0.000 0.000
-1.375 1.395 2.199
0.000 2.791 0.000
1.375 1.395 2.199
2.750 0.000 0.000
0.000 0.000 4.398
1.375 1.395 -2.199
1.375 -1.395 2.199
2.750 -0.119 1.873
1.475 1.395 0.145
2.750 2.672 -1.873
4.025 1.395 0.145
-1.275 1.395 4.253
0.000 0.119 6.270
1.275 1.395 4.253
0.000 2.910 2.525
```

Calculated values
crystal system = orthorhombic
space group = Imma (74)
final energy = -47.454 eV/f.u.
raw formation energy = -1008 kJ/mol of formula units

DFT (PBEsol) results for a geometry-optimized LiCo2CuO6 structure.

POSCAR file:
```
LiCo2CuO6
1.0
7.902 -1.378 0.000
7.902 1.378 0.000
-1.133 0.000 5.297
Li Co Cu O
1 2 1 6
Cartesian
0.000 0.000 0.000
9.389 0.000 2.069
14.863 0.000 2.698
4.222 0.000 2.343
0.860 0.000 3.172
1.793 0.000 0.953
6.554 0.000 3.818
7.547 0.000 1.539
11.019 0.000 2.862
13.239 0.000 1.848
```

Calculated values
crystal system = monoclinic
space group = Cm (8)
final energy = -63.297 eV/f.u.
raw formation energy = -967 kJ/mol of formula units